1.
A geometry-optimized NaVF4 structure. Source: the Alexandria database, functional PBE with a Hubbard U.

```
NaVF4
1.0
6.086 -2.512 0.000
6.086 2.512 0.000
-0.782 0.000 5.663
Na V F
2 2 8
Direct
0.202 0.798 0.750
0.798 0.202 0.250
0.000 0.500 0.000
0.500 0.000 0.500
0.025 0.775 0.051
0.225 0.975 0.449
0.246 0.350 0.715
0.350 0.246 0.215
0.650 0.754 0.785
0.754 0.650 0.285
0.775 0.025 0.551
0.975 0.225 0.949
```

## Properties
Final energy: -0.2047 Ha/atom
Symmetry: C2/c, No. 15

=====

2.
A geometry-optimized NaV3F10 structure. Source: the Alexandria database, functional PBE with a Hubbard U.

```
NaV3F10
1.0
0.000 7.979 3.807
6.606 0.000 3.807
6.606 7.979 0.000
Na V F
2 6 20
Direct
0.000 0.000 0.000
0.250 0.250 0.250
0.249 0.747 0.253
0.498 0.498 0.502
0.499 0.997 0.503
0.747 0.249 0.751
0.748 0.748 0.752
0.997 0.499 0.001
0.044 0.452 0.456
0.044 0.834 0.462
0.114 0.381 0.118
0.132 0.863 0.136
0.202 0.412 0.792
0.202 0.794 0.798
0.375 0.621 0.379
0.381 0.114 0.387
0.412 0.202 0.594
0.452 0.044 0.048
0.458 0.656 0.048
0.590 0.788 0.416
0.621 0.375 0.625
0.625 0.871 0.629
0.656 0.458 0.838
0.788 0.590 0.206
0.794 0.202 0.206
0.834 0.044 0.660
0.863 0.132 0.869
0.871 0.625 0.875
```

## Properties
Final energy: -0.2169 Ha/atom
Symmetry: Fdd2, No. 43

=====

3.
A geometry-optimized Na3VF structure. Source: the Alexandria database, functional PBE with a Hubbard U.

```
Na3VF
1.0
5.799 0.000 0.000
0.000 5.799 0.000
0.000 0.000 5.799
Na V F
3 1 1
Direct
0.000 0.000 0.500
0.000 0.500 0.000
0.500 0.000 0.000
0.000 0.000 0.000
0.500 0.500 0.500
```

## Properties
Final energy: -0.0799 Ha/atom
Symmetry: Pm-3m, No. 221

=====

4.
A geometry-optimized NaV2F structure. Source: the Alexandria database, functional PBE with a Hubbard U.

```
NaV2F
1.0
6.921 0.000 0.000
0.000 6.921 0.000
0.000 0.000 6.921
Na V F
4 8 4
Direct
0.000 0.000 0.000
0.000 0.500 0.500
0.500 0.000 0.500
0.500 0.500 0.000
0.250 0.250 0.250
0.250 0.250 0.750
0.250 0.750 0.250
0.250 0.750 0.750
0.750 0.250 0.250
0.750 0.250 0.750
0.750 0.750 0.250
0.750 0.750 0.750
0.000 0.000 0.500
0.000 0.500 0.000
0.500 0.000 0.000
0.500 0.500 0.500
```

## Properties
Final energy: -0.1351 Ha/atom
Symmetry: Fm-3m, No. 225

=====

Listing magnetization for the structures above in their given order: 2.00; 6.00; 4.98; 8.16 μB/f.u..